The following is a meta-GGA SCAN calculation of a PBEsol-optimized structure of Al3Ag2, from Alexandria via LeMat-Bulk.

Results
polymorph energy (0 for the lowest one)	0.036	eV per atom
formation energy	-0.0492	eV/atom
total moment	0.02	μB/cell
VASP energy	-17.25	eV/atom
space group	P1

a b c (Å): 4.927 5.747 6.357
angles (deg): 75.78 73.64 73.02
Atoms (fractional coordinates):
Al 0.000 0.000 0.000
Al 0.000 0.498 0.000
Al 0.191 0.310 0.589
Al 0.598 0.397 0.791
Al 0.599 0.899 0.792
Al 0.793 0.194 0.396
Ag 0.188 0.806 0.612
Ag 0.397 0.101 0.186
Ag 0.413 0.594 0.185
Ag 0.804 0.697 0.396